Compound: Mn2BeP
Source: Alexandria
Functional: PBE
Structure: optimized geometry

polymorph energy (0 for the lowest one) = 0.000 eV/atom
ΔH_f (0 K) = -0.326 eV/atom

a b c (Å): 3.6052 2.7879 7.9662
angles (deg): 90.00 90.00 90.00
Closest atoms and distances in Å follow each position.
Space group Amm2 (No. 38)
Inequivalent atoms, fractional coordinates:
1 Mn 0.0000 0.0000 0.0000  3 Be 2.18-2.28, 4 P 2.32
2 Mn 0.5000 0.0000 0.2790  3 P 2.22-2.25, 4 Be 2.32
3 Be 0.0000 0.0000 0.7263  7 Mn 2.18-2.32, 2 P 2.25
4 P 0.5000 0.0000 0.5572  7 Mn 2.22-2.32, 2 Be 2.25

---

Compound: La2TlCd
Source: Alexandria
Functional: PBE
Structure: optimized geometry

polymorph energy (0 for the lowest one) = 0.339 eV/atom
ΔH_f (0 K) = -0.047 eV/atom

a b c (Å): 8.9077 8.9077 6.6628
angles (deg): 90.00 90.00 90.00
Closest atoms and distances in Å follow each position.
Space group I-42d (No. 122)
Inequivalent atoms, fractional coordinates:
1 La 0.2434 0.2500 0.1250  2 Cd 3.22, 2 Tl 3.30, 2 La 3.33
2 Tl 0.0000 0.0000 0.5000  4 La 3.30, 2 Cd 3.33
3 Cd 0.0000 0.0000 0.0000  4 La 3.22, 2 Tl 3.33

---

Compound: Ac5TeSe5
Source: Alexandria
Functional: PBE
Structure: optimized geometry

ΔE_f (raw) = -1821 meV per atom

a b c (Å): 14.2190 6.3787 9.0727
angles (deg): 90.00 108.31 90.00
Closest atoms and distances in Å follow each position.
Space group C2/m (No. 12)
Inequivalent atoms, fractional coordinates:
1 Ac 0.0000 0.0000 0.0000  2 Te 3.19, 4 Se 3.19-3.21
2 Ac 0.1647 0.5000 0.8202  5 Se 3.11-3.20, 1 Te 3.25
3 Ac 0.1681 0.5000 0.3443  5 Se 3.13-3.22, 1 Te 3.28
4 Te 0.0000 0.5000 0.0000  6 Ac 3.19-3.28
5 Se 0.0000 0.5000 0.5000  4 Ac 3.11-3.13
6 Se 0.1659 0.0000 0.3325  5 Ac 3.13-3.19
7 Se 0.1733 0.0000 0.8427  5 Ac 3.20-3.22

---

Compound: Tl3TeN
Source: Alexandria
Functional: PBE
Structure: optimized geometry

polymorph energy (0 for the lowest one) = 1.052 eV/atom
ΔE_f (raw) = 1439 meV per atom

a b c (Å): 6.4219 6.4219 6.4219
angles (deg): 90.00 90.00 90.00
Closest atoms and distances in Å follow each position.
Space group Pm-3m (No. 221)
Inequivalent atoms, fractional coordinates:
1 Tl 0.0000 0.0000 0.5000  2 Te 3.21
2 Te 0.0000 0.0000 0.0000  6 Tl 3.21
3 N 0.5000 0.5000 0.5000  12 Tl 4.54

---

Compound: BC3
Source: Alexandria
Functional: PBE
Structure: optimized geometry

polymorph energy (0 for the lowest one) = 0.080 eV/atom
ΔH_f (0 K) = 0.321 eV/atom

a b c (Å): 4.5335 2.5200 6.5073
angles (deg): 90.00 91.15 90.00
Closest atoms and distances in Å follow each position.
Space group Pm (No. 6)
Inequivalent atoms, fractional coordinates:
1 B 0.0000 0.0000 0.0000  4 C 1.62-1.65
2 B 0.1669 0.5000 0.6561  4 C 1.55-1.68
3 B 0.5069 0.5000 0.9922  4 C 1.62-1.65
4 C 0.0050 0.0000 0.2487  3 C 1.55-1.61, 1 B 1.62
5 C 0.1719 0.5000 0.8950  4 B 1.55-1.64
6 C 0.3456 0.0000 0.3228  4 C 1.52-1.61
7 C 0.3608 0.0000 0.5560  2 C 1.52-1.54, 2 B 1.68
8 C 0.5103 0.5000 0.2406  3 C 1.56-1.59, 1 B 1.62
9 C 0.6751 0.0000 0.8815  1 C 1.52, 3 B 1.65
10 C 0.6761 0.0000 0.6476  4 C 1.52-1.56
11 C 0.8359 0.5000 0.5644  3 C 1.54-1.56, 1 B 1.60
12 C 0.8414 0.5000 0.3272  4 C 1.54-1.59

---

Compound: Ca2YP
Source: Alexandria
Functional: PBE
Structure: optimized geometry

ΔH_f (0 K) = -0.083 eV/atom

a b c (Å): 6.2175 10.8286 3.5612
angles (deg): 90.00 110.55 90.00
Closest atoms and distances in Å follow each position.
Space group C2/m (No. 12)
Inequivalent atoms, fractional coordinates:
1 Ca 0.2500 0.2500 0.0000  2 Ca 3.11, 2 Y 3.31, 2 P 3.31
2 Y 0.0000 0.0000 0.5000  2 P 3.11, 4 Ca 3.31
3 P 0.0000 0.5000 0.5000  2 Y 3.11, 4 Ca 3.31

---

Compound: ZrIr3
Source: Alexandria
Functional: PBE
Structure: optimized geometry

ΔH_f (0 K) = -0.206 eV/atom

a b c (Å): 9.8658 9.8658 5.6621
angles (deg): 90.00 90.00 90.00
Closest atoms and distances in Å follow each position.
Space group I-42m (No. 121)
Inequivalent atoms, fractional coordinates:
1 Zr 0.0000 0.2564 0.0000  10 Ir 2.75-2.97
2 Ir 0.0000 0.3474 0.5000  5 Ir 2.74-3.01, 4 Zr 2.84-2.97
3 Ir 0.1003 0.1003 0.3635  7 Ir 2.51-2.80, 2 Zr 2.75
4 Ir 0.2307 0.2307 0.7041  4 Ir 2.52-2.80

---

Compound: KYHF2
Source: Alexandria
Functional: PBE
Structure: optimized geometry

a b c (Å): 4.3201 4.3201 8.6341
angles (deg): 90.00 90.00 90.00
Closest atoms and distances in Å follow each position.
Space group P4/mmm (No. 123)
Inequivalent atoms, fractional coordinates:
1 K 0.0000 0.0000 0.0000  4 H 3.05
2 Y 0.0000 0.0000 0.5000  4 F 2.16
3 H 0.5000 0.5000 0.0000  4 K 3.05
4 F 0.0000 0.5000 0.5000  2 Y 2.16

---

Compound: CsLiHg4
Source: Alexandria
Functional: PBE
Structure: optimized geometry

ΔH_f (0 K) = -0.115 eV/atom

a b c (Å): 9.0970 9.0970 9.0970
angles (deg): 90.00 90.00 90.00
Closest atoms and distances in Å follow each position.
Space group F-43m (No. 216)
Inequivalent atoms, fractional coordinates:
1 Cs 0.0000 0.0000 0.0000  12 Hg 3.78, 4 Li 3.94
2 Li 0.2500 0.2500 0.2500  12 Hg 3.77, 4 Cs 3.94
3 Hg 0.1235 0.1235 0.6235  6 Hg 3.18-3.25

---

Compound: Rb2HoIn2Br6
Source: Alexandria
Functional: PBE
Structure: optimized geometry

ΔE_f (raw) = -1324 meV per atom

a b c (Å): 7.8877 14.7234 8.9584
angles (deg): 90.00 104.18 90.00
Closest atoms and distances in Å follow each position.
Space group C2/m (No. 12)
Inequivalent atoms, fractional coordinates:
1 Rb 0.0000 0.1680 0.0000  6 Br 3.37-3.50
2 Ho 0.0000 0.5000 0.0000  6 Br 2.78-2.83
3 In 0.0000 0.2467 0.5000  2 Br 3.17
4 Br 0.0809 0.3635 0.8064  1 Ho 2.83
5 Br 0.1616 0.0000 0.8147  1 Ho 2.78

---

Compound: Tb3Pm3Tl2
Source: Alexandria
Functional: PBE
Structure: optimized geometry

polymorph energy (0 for the lowest one) = 0.083 eV/atom
ΔH_f (0 K) = -0.110 eV/atom

a b c (Å): 5.2490 12.1831 15.9459
angles (deg): 90.00 90.00 90.00
Closest atoms and distances in Å follow each position.
Space group Cmcm (No. 63)
Inequivalent atoms, fractional coordinates:
1 Tb 0.0000 0.0554 0.2500  2 Tl 3.25, 5 Pm 3.43-3.49
2 Tb 0.0000 0.1352 0.5338  3 Tl 3.14-3.26, 1 Tb 3.47
3 Pm 0.0000 0.2263 0.7500  4 Tl 3.23, 1 Tb 3.43
4 Pm 0.0000 0.4587 0.6059  1 Tl 3.29, 6 Tb 3.49-3.63, 2 Pm 3.53-3.65
5 Tl 0.0000 0.2732 0.1323  4 Tb 3.14-3.26, 3 Pm 3.23-3.29

---

Compound: AgTe5
Source: Alexandria
Functional: PBE
Structure: optimized geometry

polymorph energy (0 for the lowest one) = 0.157 eV/atom
ΔE_f (raw) = 158 meV per atom

a b c (Å): 4.1006 19.7165 4.7234
angles (deg): 90.00 90.00 90.00
Closest atoms and distances in Å follow each position.
Space group Cmmm (No. 65)
Inequivalent atoms, fractional coordinates:
1 Ag 0.0000 0.0000 0.0000  8 Te 2.93-3.13
2 Te 0.0000 0.1991 0.5000  2 Te 2.87
3 Te 0.0000 0.3940 0.0000  2 Ag 2.93, 2 Te 3.15
4 Te 0.0000 0.5000 0.5000  4 Ag 3.13, 4 Te 3.15

---

Compound: SrScBeI2
Source: Alexandria
Functional: PBE
Structure: optimized geometry

ΔE_f (raw) = 389 meV per atom

a b c (Å): 5.3638 5.3638 5.6466
angles (deg): 90.00 90.00 90.00
Closest atoms and distances in Å follow each position.
Space group P4/mmm (No. 123)
Inequivalent atoms, fractional coordinates:
1 Sr 0.0000 0.0000 0.0000  2 Be 2.82
2 Sc 0.5000 0.5000 0.0000  4 Sr 3.79, 8 I 3.89
3 Be 0.0000 0.0000 0.5000  4 I 2.68, 2 Sr 2.82
4 I 0.0000 0.5000 0.5000  2 Be 2.68

---

Compound: Y3ZrTi
Source: Alexandria
Functional: PBE
Structure: optimized geometry

polymorph energy (0 for the lowest one) = 0.277 eV/atom
ΔH_f (0 K) = 1.037 eV/atom

a b c (Å): 5.4245 5.4245 5.4245
angles (deg): 90.00 90.00 90.00
Closest atoms and distances in Å follow each position.
Space group Pm-3m (No. 221)
Inequivalent atoms, fractional coordinates:
1 Y 0.0000 0.0000 0.5000  2 Zr 2.71
2 Zr 0.0000 0.0000 0.0000  6 Y 2.71
3 Ti 0.5000 0.5000 0.5000  12 Y 3.84

---

Compound: PuCdPdPb
Source: Alexandria
Functional: PBE
Structure: optimized geometry

ΔH_f (0 K) = -0.161 eV/atom

a b c (Å): 7.1985 7.1985 7.1985
angles (deg): 90.00 90.00 90.00
Closest atoms and distances in Å follow each position.
Space group F-43m (No. 216)
Inequivalent atoms, fractional coordinates:
1 Pu 0.0000 0.0000 0.0000  4 Cd 3.12, 4 Pd 3.12
2 Cd 0.2500 0.2500 0.7500  4 Pb 3.12, 4 Pu 3.12
3 Pd 0.2500 0.2500 0.2500  4 Pb 3.12, 4 Pu 3.12
4 Pb 0.0000 0.0000 0.5000  4 Cd 3.12, 4 Pd 3.12

---

Compound: CrSeBr2
Source: Alexandria
Functional: PBE
Structure: optimized geometry

polymorph energy (0 for the lowest one) = 0.114 eV/atom
ΔE_f (raw) = -299 meV per atom

a b c (Å): 3.6373 5.3093 13.8278
angles (deg): 90.00 90.00 90.00
Closest atoms and distances in Å follow each position.
Space group Imm2 (No. 44)
Inequivalent atoms, fractional coordinates:
1 Cr 0.0000 0.0000 0.0000  2 Se 2.49, 2 Br 2.54
2 Se 0.0000 0.5000 0.6225  2 Cr 2.49, 2 Br 2.71
3 Br 0.0000 0.0000 0.5843  2 Se 2.71
4 Br 0.0000 0.5000 0.3720  2 Cr 2.54

---

Compound: TcP2Ru
Source: Alexandria
Functional: PBE
Structure: optimized geometry

polymorph energy (0 for the lowest one) = 0.037 eV/atom
ΔH_f (0 K) = -0.342 eV/atom

a b c (Å): 4.1618 4.1618 2.9560
angles (deg): 90.00 90.00 90.00
Closest atoms and distances in Å follow each position.
Space group P4/mmm (No. 123)
Inequivalent atoms, fractional coordinates:
1 Tc 0.0000 0.0000 0.0000  8 P 2.55
2 P 0.0000 0.5000 0.5000  4 Tc 2.55, 4 Ru 2.55
3 Ru 0.5000 0.5000 0.0000  8 P 2.55

---

Compound: Tb6In2C
Source: Alexandria
Functional: PBE
Structure: optimized geometry

polymorph energy (0 for the lowest one) = 0.000 eV/atom
ΔH_f (0 K) = -0.397 eV/atom

a b c (Å): 9.8584 9.8584 9.8584
angles (deg): 90.00 90.00 90.00
Closest atoms and distances in Å follow each position.
Space group Fm-3m (No. 225)
Inequivalent atoms, fractional coordinates:
1 Tb 0.0000 0.0000 0.2453  1 C 2.42
2 In 0.2500 0.2500 0.2500  12 Tb 3.49
3 C 0.0000 0.0000 0.0000  6 Tb 2.42

---

Compound: NaErTe2
Source: Alexandria
Functional: PBE
Structure: optimized geometry

ΔE_f (raw) = -1205 meV per atom

a b c (Å): 4.2742 4.2742 23.9914
angles (deg): 90.00 90.00 120.00
Closest atoms and distances in Å follow each position.
Space group R3m (No. 160, hexagonal axes)
Inequivalent atoms, fractional coordinates:
1 Na 0.0000 0.0000 0.0000  6 Te 3.24-3.27
2 Er 0.0000 0.0000 0.1678  6 Te 3.10
3 Te 0.0000 0.0000 0.4228  3 Er 3.10, 3 Na 3.27
4 Te 0.0000 0.0000 0.5792  3 Er 3.10, 3 Na 3.24

---

Compound: Sc2SbBr
Source: Alexandria
Functional: PBE
Structure: optimized geometry

polymorph energy (0 for the lowest one) = 0.508 eV/atom
ΔE_f (raw) = -335 meV per atom

a b c (Å): 3.4183 3.4183 30.1305
angles (deg): 90.00 90.00 120.00
Closest atoms and distances in Å follow each position.
Space group R-3m (No. 166, hexagonal axes)
Inequivalent atoms, fractional coordinates:
1 Sc 0.0000 0.0000 0.0947  1 Sb 2.85, 3 Br 2.93
2 Sb 0.0000 0.0000 0.0000  2 Sc 2.85
3 Br 0.0000 0.0000 0.5000  6 Sc 2.93

---

Compound: AlSiSb2
Source: Alexandria
Functional: PBE
Structure: optimized geometry

polymorph energy (0 for the lowest one) = 0.207 eV/atom
ΔE_f (raw) = 367 meV per atom

a b c (Å): 4.9233 4.9233 3.6148
angles (deg): 90.00 90.00 90.00
Closest atoms and distances in Å follow each position.
Space group P4/mmm (No. 123)
Inequivalent atoms, fractional coordinates:
1 Al 0.0000 0.0000 0.0000  8 Sb 3.05
2 Si 0.5000 0.5000 0.0000  8 Sb 3.05
3 Sb 0.0000 0.5000 0.5000  4 Al 3.05, 4 Si 3.05

---

Compound: TlCr2W
Source: Alexandria
Functional: PBE
Structure: optimized geometry

polymorph energy (0 for the lowest one) = 0.764 eV/atom
ΔH_f (0 K) = 1.228 eV/atom

a b c (Å): 7.1143 7.1143 5.4971
angles (deg): 90.00 90.00 90.00
Closest atoms and distances in Å follow each position.
Space group I-42d (No. 122)
Inequivalent atoms, fractional coordinates:
1 Tl 0.0000 0.0000 0.0000  2 W 2.75, 4 Cr 2.84
2 Cr 0.2040 0.7500 0.6250  2 W 2.40
3 W 0.0000 0.0000 0.5000  4 Cr 2.40

---

Compound: Ce4Te3I4
Source: Alexandria
Functional: PBE
Structure: optimized geometry

ΔE_f (raw) = -1234 meV per atom

a b c (Å): 4.1108 9.4531 19.1433
angles (deg): 90.00 90.00 90.00
Closest atoms and distances in Å follow each position.
Space group Immm (No. 71)
Inequivalent atoms, fractional coordinates:
1 Ce 0.0000 0.0000 0.2279  6 I 3.18-3.34, 2 Te 3.31
2 Ce 0.0000 0.2250 0.0000  6 Te 3.31-3.44, 2 I 3.35
3 Te 0.0000 0.0000 0.5000  4 Ce 3.31
4 Te 0.0000 0.5000 0.4079  6 Ce 3.31-3.44, 1 Te 3.53
5 I 0.0000 0.3148 0.1695  4 Ce 3.18-3.35, 1 I 3.50

---

Compound: YCuRe2F
Source: Alexandria
Functional: PBE
Structure: optimized geometry

ΔE_f (raw) = 2496 meV per atom

a b c (Å): 5.2588 5.2588 5.0787
angles (deg): 90.00 90.00 90.00
Closest atoms and distances in Å follow each position.
Space group P4/mmm (No. 123)
Inequivalent atoms, fractional coordinates:
1 Y 0.0000 0.0000 0.0000  2 Cu 2.54, 4 Re 2.63
2 Cu 0.0000 0.0000 0.5000  2 Y 2.54
3 Re 0.0000 0.5000 0.0000  2 Y 2.63
4 F 0.5000 0.5000 0.5000  8 Re 3.66, 4 Cu 3.72

---

Compound: La2ReBr
Source: Alexandria
Functional: PBE
Structure: optimized geometry

polymorph energy (0 for the lowest one) = 0.301 eV/atom
ΔE_f (raw) = -217 meV per atom

a b c (Å): 7.9288 7.7957 3.4455
angles (deg): 90.00 104.76 90.00
Closest atoms and distances in Å follow each position.
Space group C2/m (No. 12)
Inequivalent atoms, fractional coordinates:
1 La 0.2500 0.2500 0.0000  2 Re 2.99, 2 Br 2.99
2 Re 0.0000 0.0000 0.5000  4 La 2.99
3 Br 0.0000 0.5000 0.5000  4 La 2.99

---

Compound: PmZn3CoNi
Source: Alexandria
Functional: PBE
Structure: optimized geometry

ΔH_f (0 K) = -0.112 eV/atom

a b c (Å): 6.1945 12.3063 5.2043
angles (deg): 90.00 90.00 90.00
Closest atoms and distances in Å follow each position.
Space group Cmcm (No. 63)
Inequivalent atoms, fractional coordinates:
1 Pm 0.0000 0.2206 0.2500  1 Ni 2.65, 2 Co 2.76
2 Zn 0.0000 0.3548 0.7500  1 Co 2.56, 3 Ni 2.57-2.79
3 Zn 0.2017 0.0000 0.0000  2 Ni 2.39, 3 Zn 2.50-2.60, 2 Co 2.55
4 Co 0.0000 0.1468 0.7500  5 Zn 2.55-2.56, 2 Pm 2.76
5 Ni 0.0000 0.4360 0.2500  5 Zn 2.39-2.57, 1 Pm 2.65

---

no.,DFT total energy (eV per cell)
1,-57.6
2,-53.3
3,-122.3
4,-11.4
5,-99.2
6,-32.4
7,-287.6
8,-24.3
9,-18.7
10,-73.2
11,-135.0
12,-35.2
13,-12.9
14,-30.6
15,-99.2
16,-35.3
17,-31.8
18,-184.2
19,-51.0
20,-59.4
21,-15.9
22,-118.6
23,-105.9
24,-24.8
25,-49.7
26,-88.5